1.
This record from the Alexandria database describes a relaxed structure of Li3Ga2Cu. The functional is PBE.

Structure (POSCAR):
```
Li3Ga2Cu
1.0
5.213 0.000 0.000
0.000 4.941 0.000
-2.606 -2.470 7.566
Li Ga Cu
6 4 2
Cartesian
0.803 0.000 4.715
-0.803 2.470 4.715
1.804 2.470 2.851
3.409 0.000 2.851
2.606 1.235 0.000
2.606 3.706 0.000
0.791 0.000 2.015
-1.816 0.000 5.551
4.422 2.470 2.015
1.816 2.470 5.551
0.000 3.706 0.000
0.000 1.235 0.000
```

Mass density   3815 kg/m3
E_form   -176 meV per atom
DOS at the Fermi energy   0.2034 states/eV per atom

2.
This record from the Alexandria database describes a relaxed structure of LiGa4Cu4. The functional is PBE.

Structure (POSCAR):
```
LiGa4Cu4
1.0
4.549 0.000 0.000
0.000 8.404 0.000
0.000 0.000 8.404
Ga Cu Li
8 8 2
Cartesian
4.544 5.153 7.495
2.270 5.112 0.950
0.005 7.495 3.252
2.279 7.454 5.112
0.005 0.909 5.153
4.544 3.252 0.909
2.279 0.950 3.293
2.270 3.293 7.454
2.279 6.834 2.596
2.270 5.808 6.834
0.005 1.606 2.632
0.005 6.798 5.773
4.544 2.632 6.798
2.270 2.596 1.571
2.279 1.571 5.808
4.544 5.773 1.606
2.274 4.202 4.202
0.000 0.000 0.000
```

Mass density   5582 kg/m3
E_form   -15 meV per atom
DOS at the Fermi energy   0.2758 states/eV per atom